{
  "formula": "FeSn2PbF",
  "functional": "PBE with a Hubbard U",
  "state": "optimized geometry",
  "spacegroup": "P4/mmm",
  "vol_a3_per_cell": 125.4,
  "e_tot_ev_per_atom": -4.05,
  "cell": [[5.621, 0.000, 0.000], [0.000, 5.621, 0.000], [0.000, 0.000, 3.970]],
  "species": ["Fe", "Sn", "Sn", "Pb", "F"],
  "frac_coords": [[0.000, 0.000, 0.000], [0.000, 0.500, 0.500], [0.500, 0.000, 0.500], [0.500, 0.500, 0.000], [0.000, 0.000, 0.500]]
}